Below is a relaxed structure of Mg6CrFeO8, with properties calculated at the PBE+U level.

For the theoretical density, the calculation gives 3.96 g/cm3. For the total DFT energy (no corrections), the calculation gives -100.145 eV/cell. Its relative energy among the computed polymorphs is 0 meV per atom. The space group is No. 123. The density of states at the Fermi level is 0.7 states/eV per cell.

Cell: 4.363 4.363 8.418 Å, 90.00 90.00 90.00°
Element x y z (fractional)
Mg1 0.000 0.000 0.500
Mg2 0.500 0.500 0.500
Mg3 0.000 0.500 0.249
Mg4 0.000 0.500 0.751
Mg5 0.500 0.000 0.249
Mg6 0.500 0.000 0.751
Cr1 0.500 0.500 0.000
Fe1 0.000 0.000 0.000
O1 0.000 0.000 0.253
O2 0.000 0.000 0.747
O3 0.500 0.500 0.251
O4 0.500 0.500 0.749
O5 0.000 0.500 0.000
O6 0.000 0.500 0.500
O7 0.500 0.000 0.000
O8 0.500 0.000 0.500